A plane-wave DFT calculation with PBE with a Hubbard U was carried out for crystalline Na2PaNiO6 at its relaxed geometry.

The value obtained for the energy is -6.235 eV/atom. The value obtained for the total magnetization is 4.06 μB/cell.

The structure belongs to space group Fm-3m (No. 225); the cell edges are 7.9874, 7.9874 and 7.9874 Å and the angles 90.00°, 90.00° and 90.00°. Symmetry generates all atoms from Na at (0.2500, 0.2500, 0.2500), Pa at (0.0000, 0.0000, 0.0000), Ni at (0.0000, 0.0000, 0.5000) and O at (0.0000, 0.0000, 0.2663).